Entry 1:
# ThSiRuN GGA-PBE relaxed
data_ThSiRuN
_chemical_formula_sum 'Th2 Si2 Ru2 N2'
_symmetry_space_group_name_H-M 'P 1'
_symmetry_Int_Tables_number 1
_symmetry_space_group_name_Hall 'P 1'
_cell_length_a 4.099
_cell_length_b 4.099
_cell_length_c 7.810
_cell_angle_alpha 90.00
_cell_angle_beta 90.00
_cell_angle_gamma 90.00
loop_
_atom_site_label
_atom_site_type_symbol
_atom_site_fract_x
_atom_site_fract_y
_atom_site_fract_z
_atom_site_occupancy
Th1 Th 0.000 0.500 0.822 1
Th2 Th 0.500 0.000 0.178 1
Si1 Si 0.000 0.500 0.350 1
Si2 Si 0.500 0.000 0.650 1
Ru1 Ru 0.000 0.000 0.500 1
Ru2 Ru 0.500 0.500 0.500 1
N1 N 0.500 0.000 0.881 1
N2 N 0.000 0.500 0.119 1
# - Crystal system: tetragonal
# - Final energy: -0.641 Ry per atom
# - Mass density: 9498 kg/m³
# - Energy relative to the elements, uncorrected: -1110 meV/atom
# - Volume: 131.2 Å³/cell

Entry 2:
# TiAl4Ru5 GGA-PBE relaxed
data_TiAl4Ru5
_chemical_formula_sum 'Ti1 Al4 Ru5'
_symmetry_space_group_name_H-M 'P 1'
_symmetry_Int_Tables_number 1
_symmetry_space_group_name_Hall 'P 1'
_cell_length_a 3.028
_cell_length_b 3.028
_cell_length_c 15.049
_cell_angle_alpha 90.00
_cell_angle_beta 90.00
_cell_angle_gamma 90.00
loop_
_atom_site_label
_atom_site_type_symbol
_atom_site_fract_x
_atom_site_fract_y
_atom_site_fract_z
_atom_site_occupancy
Ti1 Ti 0.000 0.000 0.000 1
Al1 Al 0.000 0.000 0.202 1
Al2 Al 0.000 0.000 0.400 1
Al3 Al 0.000 0.000 0.600 1
Al4 Al 0.000 0.000 0.798 1
Ru1 Ru 0.500 0.500 0.101 1
Ru2 Ru 0.500 0.500 0.301 1
Ru3 Ru 0.500 0.500 0.500 1
Ru4 Ru 0.500 0.500 0.699 1
Ru5 Ru 0.500 0.500 0.899 1
# - Crystal system: tetragonal
# - Final energy: -0.560 Ry per atom
# - ΔH_f (0 K): -0.695 eV/atom
# - Mass density: 7958 kg/m³
# - Volume: 138.0 Å³/cell

Entry 3:
# PmEr3Sc2 GGA-PBE relaxed
data_PmEr3Sc2
_chemical_formula_sum 'Pm2 Er6 Sc4'
_symmetry_space_group_name_H-M 'P 1'
_symmetry_Int_Tables_number 1
_symmetry_space_group_name_Hall 'P 1'
_cell_length_a 5.441
_cell_length_b 8.609
_cell_length_c 8.609
_cell_angle_alpha 111.55
_cell_angle_beta 89.89
_cell_angle_gamma 90.11
loop_
_atom_site_label
_atom_site_type_symbol
_atom_site_fract_x
_atom_site_fract_y
_atom_site_fract_z
_atom_site_occupancy
Pm1 Pm 0.993 0.729 0.729 1
Pm2 Pm 0.493 0.271 0.271 1
Er1 Er 0.994 0.890 0.369 1
Er2 Er 0.494 0.631 0.110 1
Er3 Er 0.992 0.369 0.890 1
Er4 Er 0.492 0.110 0.631 1
Er5 Er 0.493 0.905 0.905 1
Er6 Er 0.993 0.095 0.095 1
Sc1 Sc 0.493 0.700 0.485 1
Sc2 Sc 0.993 0.515 0.300 1
Sc3 Sc 0.493 0.485 0.700 1
Sc4 Sc 0.993 0.300 0.515 1
# - Crystal system: monoclinic
# - Final energy: -0.359 Ry per atom
# - ΔH_f (0 K): 0.303 eV/atom
# - Mass density: 6523 kg/m³
# - Volume: 375.0 Å³/cell

Entry 4:
# NbBS GGA-PBE relaxed
data_NbBS
_chemical_formula_sum 'Nb2 B2 S2'
_symmetry_space_group_name_H-M 'P 1'
_symmetry_Int_Tables_number 1
_symmetry_space_group_name_Hall 'P 1'
_cell_length_a 3.210
_cell_length_b 3.210
_cell_length_c 10.619
_cell_angle_alpha 90.07
_cell_angle_beta 98.63
_cell_angle_gamma 120.00
loop_
_atom_site_label
_atom_site_type_symbol
_atom_site_fract_x
_atom_site_fract_y
_atom_site_fract_z
_atom_site_occupancy
Nb1 Nb 0.898 0.449 0.347 1
Nb2 Nb 0.102 0.551 0.653 1
B1 B 0.333 0.167 0.500 1
B2 B 0.667 0.833 0.500 1
S1 S 0.540 0.271 0.812 1
S2 S 0.460 0.729 0.188 1
# - Crystal system: monoclinic
# - Final energy: -0.580 Ry per atom
# - Mass density: 4832 kg/m³
# - Energy relative to the elements, uncorrected: -931 meV/atom
# - Volume: 93.3 Å³/cell

Entry 5:
# HfTaIn2C GGA-PBE relaxed
data_HfTaIn2C
_chemical_formula_sum 'Hf1 Ta1 In2 C1'
_symmetry_space_group_name_H-M 'P 1'
_symmetry_Int_Tables_number 1
_symmetry_space_group_name_Hall 'P 1'
_cell_length_a 5.550
_cell_length_b 4.976
_cell_length_c 5.550
_cell_angle_alpha 90.00
_cell_angle_beta 90.00
_cell_angle_gamma 90.00
loop_
_atom_site_label
_atom_site_type_symbol
_atom_site_fract_x
_atom_site_fract_y
_atom_site_fract_z
_atom_site_occupancy
C1 C 0.500 0.500 0.500 1
In1 In 0.000 0.000 0.500 1
In2 In 0.500 0.000 0.000 1
Hf1 Hf 0.000 0.000 0.000 1
Ta1 Ta 0.000 0.500 0.000 1
# - Crystal system: tetragonal
# - Final energy: -0.357 Ry per atom
# - ΔH_f (0 K): 2.441 eV/atom
# - Mass density: 6511 kg/m³
# - Volume: 153.3 Å³/cell

Entry 6:
# RbSiB GGA-PBE relaxed
data_RbSiB
_chemical_formula_sum 'Rb1 Si1 B1'
_symmetry_space_group_name_H-M 'P 1'
_symmetry_Int_Tables_number 1
_symmetry_space_group_name_Hall 'P 1'
_cell_length_a 4.836
_cell_length_b 4.836
_cell_length_c 3.669
_cell_angle_alpha 90.00
_cell_angle_beta 90.00
_cell_angle_gamma 90.00
loop_
_atom_site_label
_atom_site_type_symbol
_atom_site_fract_x
_atom_site_fract_y
_atom_site_fract_z
_atom_site_occupancy
Si1 Si 0.500 0.500 0.500 1
B1 B 0.500 0.500 0.000 1
Rb1 Rb 0.000 0.000 0.000 1
# - Crystal system: tetragonal
# - Final energy: -0.282 Ry per atom
# - Mass density: 2406 kg/m³
# - Energy relative to the elements, uncorrected: 522 meV/atom
# - Volume: 85.8 Å³/cell

Entry 7:
# ZrTi6Ni6 GGA-PBE relaxed
data_ZrTi6Ni6
_chemical_formula_sum 'Zr1 Ti6 Ni6'
_symmetry_space_group_name_H-M 'P 1'
_symmetry_Int_Tables_number 1
_symmetry_space_group_name_Hall 'P 1'
_cell_length_a 4.931
_cell_length_b 6.599
_cell_length_c 6.599
_cell_angle_alpha 82.82
_cell_angle_beta 68.06
_cell_angle_gamma 68.06
loop_
_atom_site_label
_atom_site_type_symbol
_atom_site_fract_x
_atom_site_fract_y
_atom_site_fract_z
_atom_site_occupancy
Zr1 Zr 0.000 0.000 0.000 1
Ti1 Ti 0.348 0.652 0.652 1
Ti2 Ti 0.652 0.348 0.348 1
Ti3 Ti 0.000 0.345 0.655 1
Ti4 Ti 0.000 0.655 0.345 1
Ti5 Ti 0.312 0.188 0.188 1
Ti6 Ti 0.688 0.812 0.812 1
Ni1 Ni 0.000 0.500 0.000 1
Ni2 Ni 0.500 0.500 0.000 1
Ni3 Ni 0.000 0.000 0.500 1
Ni4 Ni 0.500 0.000 0.500 1
Ni5 Ni 0.500 0.768 0.232 1
Ni6 Ni 0.500 0.232 0.768 1
# - Crystal system: orthorhombic
# - Final energy: -0.538 Ry per atom
# - ΔH_f (0 K): -0.347 eV/atom
# - Mass density: 6566 kg/m³
# - Volume: 184.8 Å³/cell

Entry 8:
# TbPr2ZrN4 GGA-PBE relaxed
data_TbPr2ZrN4
_chemical_formula_sum 'Tb1 Pr2 Zr1 N4'
_symmetry_space_group_name_H-M 'P 1'
_symmetry_Int_Tables_number 1
_symmetry_space_group_name_Hall 'P 1'
_cell_length_a 3.499
_cell_length_b 6.071
_cell_length_c 6.140
_cell_angle_alpha 109.03
_cell_angle_beta 90.00
_cell_angle_gamma 90.00
loop_
_atom_site_label
_atom_site_type_symbol
_atom_site_fract_x
_atom_site_fract_y
_atom_site_fract_z
_atom_site_occupancy
Tb1 Tb 0.500 0.500 0.000 1
Pr1 Pr 0.500 0.000 0.500 1
Pr2 Pr 0.000 0.500 0.500 1
Zr1 Zr 0.000 0.000 0.000 1
N1 N 0.500 0.230 0.221 1
N2 N 0.500 0.770 0.779 1
N3 N 0.000 0.244 0.774 1
N4 N 0.000 0.756 0.226 1
# - Crystal system: monoclinic
# - Final energy: -0.624 Ry per atom
# - Mass density: 7918 kg/m³
# - Energy relative to the elements, uncorrected: -1487 meV/atom
# - Volume: 123.3 Å³/cell